Computed, not measured: an optimized crystal structure of Ca3HfBi at the PBE level of DFT.

Unit cell a=5.9365 b=5.9365 c=5.9365 alpha=90.00 beta=90.00 gamma=90.00
Closest atoms and distances in Å follow each position.
Atoms (fractional coordinates):
Ca1 0.5000 0.0000 0.0000  2 Bi 2.97
Ca2 0.0000 0.0000 0.5000  2 Bi 2.97
Ca3 0.0000 0.5000 0.0000  2 Bi 2.97
Hf1 0.5000 0.5000 0.5000  12 Ca 4.20
Bi1 0.0000 0.0000 0.0000  6 Ca 2.97

Values from the calculation:
DFT formation energy in eV/atom: 0.544
Energy above the most stable polymorph in this dataset in meV/atom: 0